A plane-wave DFT calculation with GGA+U was carried out for a relaxed TlCoPbF6 crystal.

POSCAR file:
```
TlCoPbF6
1.0
-0.133 5.945 -0.229
-4.656 2.974 2.210
2.518 0.251 4.959
Pb F Tl Co
1 6 1 1
Direct
0.334 0.334 0.501
0.929 0.408 0.306
0.926 0.665 0.694
0.407 0.928 0.693
0.409 0.663 0.306
0.663 0.927 0.306
0.665 0.408 0.694
0.000 0.000 0.000
0.667 0.667 0.500
```

Values from the calculation:
- theoretical density (g cm⁻³) = 5.7
- space group = P1
- E_tot (eV/atom) = -4.4969
- magnetic moment (μB per formula unit) = 0.00